Entry 1:
A geometry-optimized InReAgTe3 structure, computed with PBE.

Cell: 8.8859 8.8859 10.6444 Å, 90.00 90.00 157.78°
With the nearest neighbours (Å) after each atom.
Sites, in units of the cell vectors:
In1 0.1794 0.8206 0.7500  2 Ag 2.82, 4 Te 3.08-3.10
In2 0.8206 0.1794 0.2500  2 Ag 2.82, 4 Te 3.08-3.10
Re1 0.5000 0.5000 0.0000  6 Te 2.70-2.72
Re2 0.5000 0.5000 0.5000  6 Te 2.70-2.72
Ag1 0.1924 0.8076 0.2500  2 Te 2.74, 2 In 2.82
Ag2 0.8076 0.1924 0.7500  2 Te 2.74, 2 In 2.82
Te1 0.1191 0.8809 0.0223  2 Re 2.70, 1 Ag 2.74
Te2 0.1191 0.8809 0.4777  2 Re 2.70, 1 Ag 2.74
Te3 0.4688 0.5312 0.2500  2 Re 2.72
Te4 0.5312 0.4688 0.7500  2 Re 2.72
Te5 0.8809 0.1191 0.5223  2 Re 2.70, 1 Ag 2.74
Te6 0.8809 0.1191 0.9777  2 Re 2.70, 1 Ag 2.74

Computed properties:
* symmetry: Cmcm (63)
* V: 26.49 Å³/atom
* total DFT energy (no corrections): -0.1633 Ha/atom

***

Entry 2:
A geometry-optimized In5AgS8 structure, computed with PBE.

Cell: 5.6424 5.6424 11.6549 Å, 90.00 90.00 90.00°
With the nearest neighbours (Å) after each atom.
Sites, in units of the cell vectors:
In1 0.0000 0.0000 0.0000  4 S 2.51
In2 0.0000 0.5000 0.2524  4 S 2.45-2.56
In3 0.0000 0.5000 0.7476  4 S 2.45-2.56
In4 0.5000 0.0000 0.2524  4 S 2.45-2.56
In5 0.5000 0.0000 0.7476  4 S 2.45-2.56
Ag1 0.5000 0.5000 0.5000  4 S 2.57
S1 0.2349 0.2349 0.6253  2 In 2.45, 1 Ag 2.57
S2 0.2349 0.7651 0.3747  2 In 2.45, 1 Ag 2.57
S3 0.2658 0.2658 0.1146  3 In 2.51-2.56
S4 0.2658 0.7342 0.8854  3 In 2.51-2.56
S5 0.7342 0.2658 0.8854  3 In 2.51-2.56
S6 0.7342 0.7342 0.1146  3 In 2.51-2.56
S7 0.7651 0.2349 0.3747  2 In 2.45, 1 Ag 2.57
S8 0.7651 0.7651 0.6253  2 In 2.45, 1 Ag 2.57

Computed properties:
* symmetry: P-42m (111)
* V: 26.50 Å³/atom
* total DFT energy (no corrections): -0.1485 Ha/atom

***

Entry 3:
A geometry-optimized In2Ag2SeS3 structure, computed with PBE.

Cell: 7.1701 7.1701 6.0134 Å, 114.34 114.34 49.34°
With the nearest neighbours (Å) after each atom.
Sites, in units of the cell vectors:
In1 0.1264 0.1264 0.3812  3 S 2.51-2.52, 1 Se 2.62
In2 0.8736 0.8736 0.6188  3 S 2.51-2.52, 1 Se 2.62
Ag1 0.3509 0.3861 0.1297  3 S 2.57-2.58, 1 Se 2.69
Ag2 0.6139 0.6491 0.8703  3 S 2.57-2.58, 1 Se 2.69
Se1 0.7460 0.2540 0.0000  2 In 2.62, 2 Ag 2.69
S1 0.2373 0.7627 0.5000  2 In 2.51, 2 Ag 2.57
S2 0.4968 0.0031 0.2623  2 In 2.52, 2 Ag 2.57-2.58
S3 0.9969 0.5032 0.7377  2 In 2.52, 2 Ag 2.57-2.58

Computed properties:
* symmetry: C2 (5)
* V: 26.13 Å³/atom
* total DFT energy (no corrections): -0.1398 Ha/atom

***

Entry 4:
A geometry-optimized InSiAgSeS2 structure, computed with PBE.

Cell: 7.8865 7.8865 10.0047 Å, 90.00 90.00 155.03°
With the nearest neighbours (Å) after each atom.
Sites, in units of the cell vectors:
In1 0.1735 0.8265 0.7500  2 Se 2.73, 2 Ag 2.83, 2 S 2.97
In2 0.8265 0.1735 0.2500  2 Se 2.73, 2 Ag 2.83, 2 S 2.97
Si1 0.5000 0.5000 0.0000  4 S 2.33, 2 Se 2.56
Si2 0.5000 0.5000 0.5000  4 S 2.33, 2 Se 2.56
Ag1 0.1795 0.8205 0.2500  2 S 2.54, 2 In 2.83
Ag2 0.8205 0.1795 0.7500  2 S 2.54, 2 In 2.83
Se1 0.4650 0.5350 0.2500  2 Si 2.56, 2 In 2.73
Se2 0.5350 0.4650 0.7500  2 Si 2.56, 2 In 2.73
S1 0.1021 0.8979 0.0258  2 Si 2.33, 1 Ag 2.54
S2 0.1021 0.8979 0.4742  2 Si 2.33, 1 Ag 2.54
S3 0.8979 0.1021 0.5258  2 Si 2.33, 1 Ag 2.54
S4 0.8979 0.1021 0.9742  2 Si 2.33, 1 Ag 2.54

Computed properties:
* symmetry: Cmcm (63)
* V: 21.89 Å³/atom
* total DFT energy (no corrections): -0.1486 Ha/atom

***

Entry 5:
A geometry-optimized InAgSnSe2S structure, computed with PBE.

Cell: 6.8117 6.8117 11.1244 Å, 90.00 90.00 146.25°
With the nearest neighbours (Å) after each atom.
Sites, in units of the cell vectors:
In1 0.1767 0.8233 0.7500  2 S 2.78, 2 Se 2.99, 2 Ag 3.04
In2 0.8233 0.1767 0.2500  2 S 2.78, 2 Se 2.99, 2 Ag 3.04
Ag1 0.1464 0.8536 0.2500  2 Se 2.60
Ag2 0.8536 0.1464 0.7500  2 Se 2.60
Sn1 0.5000 0.5000 0.0000  4 Se 2.79, 2 S 2.80
Sn2 0.5000 0.5000 0.5000  4 Se 2.79, 2 S 2.80
Se1 0.1504 0.8496 0.0166  1 Ag 2.60, 2 Sn 2.79
Se2 0.1504 0.8496 0.4834  1 Ag 2.60, 2 Sn 2.79
Se3 0.8496 0.1504 0.5166  1 Ag 2.60, 2 Sn 2.79
Se4 0.8496 0.1504 0.9834  1 Ag 2.60, 2 Sn 2.79
S1 0.4733 0.5267 0.2500  2 In 2.78, 2 Sn 2.80, 2 Ag 3.00
S2 0.5267 0.4733 0.7500  2 In 2.78, 2 Sn 2.80, 2 Ag 3.00

Computed properties:
* symmetry: Cmcm (63)
* V: 23.90 Å³/atom
* total DFT energy (no corrections): -0.1367 Ha/atom

***

Entry 6:
A geometry-optimized TaInAgSeS2 structure, computed with PBE.

Cell: 8.1719 8.1719 10.0831 Å, 90.00 90.00 155.42°
With the nearest neighbours (Å) after each atom.
Sites, in units of the cell vectors:
Ta1 0.0000 0.0000 0.0000  4 S 2.48, 2 Se 2.59
Ta2 0.0000 0.0000 0.5000  4 S 2.48, 2 Se 2.59
In1 0.3238 0.6762 0.7500  2 Se 2.83, 2 Ag 2.84, 2 S 3.01
In2 0.6762 0.3238 0.2500  2 Se 2.83, 2 Ag 2.84, 2 S 3.01
Ag1 0.3166 0.6834 0.2500  2 S 2.52
Ag2 0.6834 0.3166 0.7500  2 S 2.52
Se1 0.0363 0.9637 0.2500  2 Ta 2.59, 2 In 2.83
Se2 0.9637 0.0363 0.7500  2 Ta 2.59, 2 In 2.83
S1 0.3909 0.6091 0.0293  2 Ta 2.48, 1 Ag 2.52
S2 0.3909 0.6091 0.4707  2 Ta 2.48, 1 Ag 2.52
S3 0.6091 0.3909 0.5293  2 Ta 2.48, 1 Ag 2.52
S4 0.6091 0.3909 0.9707  2 Ta 2.48, 1 Ag 2.52

Computed properties:
* symmetry: Cmcm (63)
* V: 23.34 Å³/atom
* total DFT energy (no corrections): -0.1970 Ha/atom

***

Entry 7:
A geometry-optimized InAgWSeS2 structure, computed with PBE.

Cell: 8.2658 8.2658 9.8259 Å, 90.00 90.00 156.60°
With the nearest neighbours (Å) after each atom.
Sites, in units of the cell vectors:
In1 0.1750 0.8250 0.7500  2 Se 2.84, 2 Ag 2.84, 2 S 2.91
In2 0.8250 0.1750 0.2500  2 Se 2.84, 2 Ag 2.84, 2 S 2.91
Ag1 0.1833 0.8167 0.2500  2 S 2.52
Ag2 0.8167 0.1833 0.7500  2 S 2.52
W1 0.5000 0.5000 0.0000  4 S 2.44, 2 Se 2.52
W2 0.5000 0.5000 0.5000  4 S 2.44, 2 Se 2.52
Se1 0.4665 0.5335 0.2500  2 W 2.52
Se2 0.5335 0.4665 0.7500  2 W 2.52
S1 0.1086 0.8914 0.0253  2 W 2.44, 1 Ag 2.52
S2 0.1086 0.8914 0.4747  2 W 2.44, 1 Ag 2.52
S3 0.8914 0.1086 0.5253  2 W 2.44, 1 Ag 2.52
S4 0.8914 0.1086 0.9747  2 W 2.44, 1 Ag 2.52

Computed properties:
* symmetry: Cmcm (63)
* V: 22.22 Å³/atom
* total DFT energy (no corrections): -0.1936 Ha/atom

***

Entry 8:
A geometry-optimized InSiAgS3 structure, computed with PBE.

Cell: 8.0296 8.0296 9.5072 Å, 90.00 90.00 155.77°
With the nearest neighbours (Å) after each atom.
Sites, in units of the cell vectors:
In1 0.1645 0.8355 0.7500  4 S 2.61-2.88, 2 Ag 2.81
In2 0.8355 0.1645 0.2500  4 S 2.61-2.88, 2 Ag 2.81
Si1 0.5000 0.5000 0.0000  6 S 2.31-2.45
Si2 0.5000 0.5000 0.5000  6 S 2.31-2.45
Ag1 0.1922 0.8078 0.2500  2 S 2.54, 2 In 2.81
Ag2 0.8078 0.1922 0.7500  2 S 2.54, 2 In 2.81
S1 0.0986 0.9014 0.0325  2 Si 2.31, 1 Ag 2.54
S2 0.0986 0.9014 0.4675  2 Si 2.31, 1 Ag 2.54
S3 0.4622 0.5378 0.2500  2 Si 2.45, 2 In 2.61
S4 0.5378 0.4622 0.7500  2 Si 2.45, 2 In 2.61
S5 0.9014 0.0986 0.5325  2 Si 2.31, 1 Ag 2.54
S6 0.9014 0.0986 0.9675  2 Si 2.31, 1 Ag 2.54

Computed properties:
* symmetry: Cmcm (63)
* V: 20.96 Å³/atom
* total DFT energy (no corrections): -0.1546 Ha/atom

***

Entry 9:
A geometry-optimized InSiAgTeS2 structure, computed with PBE.

Cell: 7.6361 7.6361 11.3405 Å, 90.00 90.00 155.33°
With the nearest neighbours (Å) after each atom.
Sites, in units of the cell vectors:
In1 0.1644 0.8356 0.7500  2 Ag 2.82, 2 S 2.87
In2 0.8356 0.1644 0.2500  2 Ag 2.82, 2 S 2.87
Si1 0.5000 0.5000 0.0000  4 S 2.29
Si2 0.5000 0.5000 0.5000  4 S 2.29
Ag1 0.1816 0.8184 0.2500  2 In 2.82, 2 Te 2.92, 2 S 3.13
Ag2 0.8184 0.1816 0.7500  2 In 2.82, 2 Te 2.92, 2 S 3.13
Te1 0.4807 0.5193 0.7500  2 Si 2.85, 2 Ag 2.92, 2 In 3.19
Te2 0.5193 0.4807 0.2500  2 Si 2.85, 2 Ag 2.92, 2 In 3.19
S1 0.1077 0.8923 0.5079  2 Si 2.29
S2 0.1077 0.8923 0.9921  2 Si 2.29
S3 0.8923 0.1077 0.0079  2 Si 2.29
S4 0.8923 0.1077 0.4921  2 Si 2.29

Computed properties:
* symmetry: Cmcm (63)
* V: 23.00 Å³/atom
* total DFT energy (no corrections): -0.1437 Ha/atom

***

Entry 10:
A geometry-optimized InAg3SnS4 structure, computed with PBE.

Cell: 6.0812 6.0812 6.0812 Å, 90.00 90.00 90.00°
With the nearest neighbours (Å) after each atom.
Sites, in units of the cell vectors:
In1 0.0000 0.0000 0.0000  4 S 2.53
Ag1 0.0000 0.5000 0.5000  4 S 2.67
Ag2 0.5000 0.0000 0.5000  4 S 2.67
Ag3 0.5000 0.5000 0.0000  4 S 2.67
Sn1 0.5000 0.5000 0.5000  4 S 2.74, 6 Ag 3.04
S1 0.2400 0.2400 0.2400  1 In 2.53, 3 Ag 2.67, 1 Sn 2.74
S2 0.2400 0.7600 0.7600  1 In 2.53, 3 Ag 2.67, 1 Sn 2.74
S3 0.7600 0.2400 0.7600  1 In 2.53, 3 Ag 2.67, 1 Sn 2.74
S4 0.7600 0.7600 0.2400  1 In 2.53, 3 Ag 2.67, 1 Sn 2.74

Computed properties:
* symmetry: P-43m (215)
* V: 24.99 Å³/atom
* total DFT energy (no corrections): -0.1361 Ha/atom

***

Entry 11:
A geometry-optimized InAgSnTe2S structure, computed with PBE.

Cell: 6.9750 6.9750 11.6556 Å, 90.00 90.00 144.03°
With the nearest neighbours (Å) after each atom.
Sites, in units of the cell vectors:
In1 0.1807 0.8193 0.7500  2 S 2.91, 2 Te 3.20
In2 0.8193 0.1807 0.2500  2 S 2.91, 2 Te 3.20
Ag1 0.0968 0.9032 0.2500  2 S 2.76, 2 Te 2.77
Ag2 0.9032 0.0968 0.7500  2 S 2.76, 2 Te 2.77
Sn1 0.5000 0.5000 0.0000  2 S 2.95, 4 Te 3.03
Sn2 0.5000 0.5000 0.5000  2 S 2.95, 4 Te 3.03
Te1 0.1593 0.8407 0.0236  1 Ag 2.77, 2 Sn 3.03
Te2 0.1593 0.8407 0.4764  1 Ag 2.77, 2 Sn 3.03
Te3 0.8407 0.1593 0.5236  1 Ag 2.77, 2 Sn 3.03
Te4 0.8407 0.1593 0.9764  1 Ag 2.77, 2 Sn 3.03
S1 0.4668 0.5332 0.2500  2 Ag 2.76, 2 In 2.91, 2 Sn 2.95
S2 0.5332 0.4668 0.7500  2 Ag 2.76, 2 In 2.91, 2 Sn 2.95

Computed properties:
* symmetry: Cmcm (63)
* V: 27.75 Å³/atom
* total DFT energy (no corrections): -0.1283 Ha/atom

***

Entry 12:
A geometry-optimized InAgSnTeS2 structure, computed with PBE.

Cell: 7.5740 7.5740 11.1938 Å, 90.00 90.00 149.87°
With the nearest neighbours (Å) after each atom.
Sites, in units of the cell vectors:
In1 0.2123 0.7877 0.7500  2 Ag 2.95, 2 Te 2.98
In2 0.7877 0.2123 0.2500  2 Ag 2.95, 2 Te 2.98
Ag1 0.1377 0.8623 0.2500  2 S 2.46
Ag2 0.8623 0.1377 0.7500  2 S 2.46
Sn1 0.5000 0.5000 0.0000  4 S 2.67, 2 Te 2.93
Sn2 0.5000 0.5000 0.5000  4 S 2.67, 2 Te 2.93
Te1 0.4409 0.5591 0.2500  2 Sn 2.93, 2 In 2.98
Te2 0.5591 0.4409 0.7500  2 Sn 2.93, 2 In 2.98
S1 0.1208 0.8792 0.0318  1 Ag 2.46, 2 Sn 2.67
S2 0.1208 0.8792 0.4682  1 Ag 2.46, 2 Sn 2.67
S3 0.8792 0.1208 0.5318  1 Ag 2.46, 2 Sn 2.67
S4 0.8792 0.1208 0.9682  1 Ag 2.46, 2 Sn 2.67

Computed properties:
* symmetry: Cmcm (63)
* V: 26.86 Å³/atom
* total DFT energy (no corrections): -0.1344 Ha/atom